# TbYHo2Sc2

An optimized crystal structure of TbYHo2Sc2 (GGA-PBE, Alexandria via LeMat-Bulk).

Summary:
The calculation puts the formation enthalpy at 0 K at 0.28 eV per atom. For the total moment, the calculation gives 0.0 μB per formula unit. As for the electronic total energy: -62.5 eV/cell. The density of states at the Fermi level comes out at 1.727 states/eV/atom.

CIF file:
```
data_TbYHo2Sc2
_chemical_formula_sum 'Tb2 Y2 Ho4 Sc4'
_cell_length_a 3.340
_cell_length_b 6.287
_cell_length_c 17.233
_cell_angle_alpha 90.00
_cell_angle_beta 90.00
_cell_angle_gamma 90.00
_symmetry_space_group_name_H-M 'P 1'
_symmetry_Int_Tables_number 1
_symmetry_space_group_name_Hall 'P 1'
loop_
_atom_site_label
_atom_site_fract_x
_atom_site_fract_y
_atom_site_fract_z
_atom_site_occupancy
Tb1 0.000 0.000 0.000 1
Tb2 0.500 0.500 0.500 1
Y1 0.500 0.500 0.000 1
Y2 0.000 0.000 0.500 1
Ho1 0.500 0.730 0.310 1
Ho2 0.500 0.270 0.690 1
Ho3 0.000 0.770 0.810 1
Ho4 0.000 0.230 0.190 1
Sc1 0.500 0.228 0.353 1
Sc2 0.000 0.728 0.147 1
Sc3 0.500 0.772 0.647 1
Sc4 0.000 0.272 0.853 1
```

---

# CaAg3Ge

An optimized crystal structure of CaAg3Ge (GGA-PBE, Alexandria via LeMat-Bulk).

Summary:
The calculation puts the formation enthalpy at 0 K at -0.18 eV per atom. The calculation puts the offset from the most stable computed form at 0.0 meV per atom. For the total moment, the calculation gives 0.0 μB per formula unit. As for the electronic total energy: -32.1 eV/cell. The density of states at the Fermi level comes out at 0.380 states/eV/atom.

CIF file:
```
data_CaAg3Ge
_chemical_formula_sum 'Ca2 Ag6 Ge2'
_cell_length_a 7.014
_cell_length_b 5.572
_cell_length_c 5.825
_cell_angle_alpha 90.00
_cell_angle_beta 90.00
_cell_angle_gamma 67.83
_symmetry_space_group_name_H-M 'P 1'
_symmetry_Int_Tables_number 1
_symmetry_space_group_name_Hall 'P 1'
loop_
_atom_site_label
_atom_site_fract_x
_atom_site_fract_y
_atom_site_fract_z
_atom_site_occupancy
Ca1 0.961 0.266 0.052 1
Ca2 0.599 0.700 0.552 1
Ag1 0.144 0.201 0.552 1
Ag2 0.416 0.765 0.052 1
Ag3 0.465 0.265 0.810 1
Ag4 0.465 0.265 0.295 1
Ag5 0.096 0.700 0.310 1
Ag6 0.096 0.700 0.795 1
Ge1 0.816 0.096 0.552 1
Ge2 0.745 0.870 0.052 1
```

---

# Ba2Sn3Sb6

An optimized crystal structure of Ba2Sn3Sb6 (GGA-PBE, Alexandria via LeMat-Bulk).

Summary:
For the total moment, the calculation gives 0.0 μB per formula unit. As for the electronic total energy: -180.9 eV/cell. The density of states at the Fermi level comes out at 0.111 states/eV/atom.

CIF file:
```
data_Ba2Sn3Sb6
_chemical_formula_sum 'Ba8 Sn12 Sb24'
_cell_length_a 4.500
_cell_length_b 13.597
_cell_length_c 24.908
_cell_angle_alpha 90.00
_cell_angle_beta 90.00
_cell_angle_gamma 90.00
_symmetry_space_group_name_H-M 'P 1'
_symmetry_Int_Tables_number 1
_symmetry_space_group_name_Hall 'P 1'
loop_
_atom_site_label
_atom_site_fract_x
_atom_site_fract_y
_atom_site_fract_z
_atom_site_occupancy
Ba1 0.250 0.048 0.579 1
Ba2 0.750 0.952 0.421 1
Ba3 0.250 0.548 0.921 1
Ba4 0.750 0.452 0.079 1
Ba5 0.250 0.129 0.891 1
Ba6 0.750 0.871 0.109 1
Ba7 0.250 0.629 0.609 1
Ba8 0.750 0.371 0.391 1
Sn1 0.250 0.819 0.901 1
Sn2 0.250 0.319 0.599 1
Sn3 0.750 0.681 0.401 1
Sn4 0.750 0.181 0.099 1
Sn5 0.250 0.197 0.235 1
Sn6 0.750 0.803 0.765 1
Sn7 0.250 0.697 0.265 1
Sn8 0.750 0.303 0.735 1
Sn9 0.750 0.460 0.250 1
Sn10 0.250 0.540 0.750 1
Sn11 0.750 0.960 0.250 1
Sn12 0.250 0.040 0.750 1
Sb1 0.750 0.070 0.997 1
Sb2 0.250 0.930 0.003 1
Sb3 0.750 0.570 0.503 1
Sb4 0.250 0.430 0.497 1
Sb5 0.750 0.934 0.855 1
Sb6 0.250 0.566 0.355 1
Sb7 0.250 0.066 0.145 1
Sb8 0.750 0.434 0.645 1
Sb9 0.750 0.338 0.922 1
Sb10 0.250 0.662 0.078 1
Sb11 0.750 0.838 0.578 1
Sb12 0.250 0.162 0.422 1
Sb13 0.750 0.200 0.498 1
Sb14 0.250 0.800 0.502 1
Sb15 0.750 0.700 0.002 1
Sb16 0.250 0.300 0.998 1
Sb17 0.750 0.153 0.304 1
Sb18 0.250 0.847 0.696 1
Sb19 0.750 0.653 0.196 1
Sb20 0.250 0.347 0.804 1
Sb21 0.750 0.114 0.684 1
Sb22 0.250 0.886 0.316 1
Sb23 0.750 0.614 0.816 1
Sb24 0.250 0.386 0.184 1
```

---

# Pr2YAl

An optimized crystal structure of Pr2YAl (GGA-PBE, Alexandria via LeMat-Bulk).

Summary:
The calculation puts the formation enthalpy at 0 K at -0.13 eV per atom. The calculation puts the offset from the most stable computed form at 43.2 meV per atom. For the total moment, the calculation gives 0.0 μB per formula unit. As for the electronic total energy: -20.3 eV/cell. The density of states at the Fermi level comes out at 1.097 states/eV/atom.

CIF file:
```
data_Pr2YAl
_chemical_formula_sum 'Pr2 Y1 Al1'
_cell_length_a 3.617
_cell_length_b 3.617
_cell_length_c 9.357
_cell_angle_alpha 90.00
_cell_angle_beta 90.00
_cell_angle_gamma 90.00
_symmetry_space_group_name_H-M 'P 1'
_symmetry_Int_Tables_number 1
_symmetry_space_group_name_Hall 'P 1'
loop_
_atom_site_label
_atom_site_fract_x
_atom_site_fract_y
_atom_site_fract_z
_atom_site_occupancy
Pr1 0.000 0.000 0.785 1
Pr2 0.000 0.000 0.215 1
Y1 0.500 0.500 0.500 1
Al1 0.500 0.500 0.000 1
```

---

# NaYW2

An optimized crystal structure of NaYW2 (GGA-PBE, Alexandria via LeMat-Bulk).

Summary:
The calculation puts the formation enthalpy at 0 K at 1.62 eV per atom. The calculation puts the offset from the most stable computed form at 463.4 meV per atom. For the total moment, the calculation gives 0.0 μB per formula unit. As for the electronic total energy: -27.2 eV/cell. The density of states at the Fermi level comes out at 2.211 states/eV/atom.

CIF file:
```
data_NaYW2
_chemical_formula_sum 'Na1 Y1 W2'
_cell_length_a 4.844
_cell_length_b 4.844
_cell_length_c 4.844
_cell_angle_alpha 60.00
_cell_angle_beta 60.00
_cell_angle_gamma 60.00
_symmetry_space_group_name_H-M 'P 1'
_symmetry_Int_Tables_number 1
_symmetry_space_group_name_Hall 'P 1'
loop_
_atom_site_label
_atom_site_fract_x
_atom_site_fract_y
_atom_site_fract_z
_atom_site_occupancy
Y1 0.500 0.500 0.500 1
Na1 0.000 0.000 0.000 1
W1 0.250 0.250 0.250 1
W2 0.750 0.750 0.750 1
```

---

# CsNa2SeI

An optimized crystal structure of CsNa2SeI (GGA-PBE, Alexandria via LeMat-Bulk).

Summary:
The calculation puts the offset from the most stable computed form at 0.0 meV per atom. For the total moment, the calculation gives 0.0 μB per formula unit. As for the electronic total energy: -14.1 eV/cell. The density of states at the Fermi level comes out at 0.000 states/eV/atom.

CIF file:
```
data_CsNa2SeI
_chemical_formula_sum 'Cs1 Na2 Se1 I1'
_cell_length_a 5.548
_cell_length_b 5.548
_cell_length_c 7.194
_cell_angle_alpha 90.00
_cell_angle_beta 90.00
_cell_angle_gamma 90.00
_symmetry_space_group_name_H-M 'P 1'
_symmetry_Int_Tables_number 1
_symmetry_space_group_name_Hall 'P 1'
loop_
_atom_site_label
_atom_site_fract_x
_atom_site_fract_y
_atom_site_fract_z
_atom_site_occupancy
Cs1 0.000 0.000 0.500 1
I1 0.500 0.500 0.500 1
Se1 0.000 0.000 0.000 1
Na1 0.000 0.500 0.000 1
Na2 0.500 0.000 0.000 1
```

---

# Pr2ErZn

An optimized crystal structure of Pr2ErZn (GGA-PBE, Alexandria via LeMat-Bulk).

Summary:
The calculation puts the formation enthalpy at 0 K at 0.17 eV per atom. The calculation puts the offset from the most stable computed form at 322.6 meV per atom. For the total moment, the calculation gives 0.0 μB per formula unit. As for the electronic total energy: -14.7 eV/cell. The density of states at the Fermi level comes out at 1.469 states/eV/atom.

CIF file:
```
data_Pr2ErZn
_chemical_formula_sum 'Pr2 Er1 Zn1'
_cell_length_a 3.510
_cell_length_b 3.510
_cell_length_c 11.857
_cell_angle_alpha 81.49
_cell_angle_beta 81.49
_cell_angle_gamma 60.00
_symmetry_space_group_name_H-M 'P 1'
_symmetry_Int_Tables_number 1
_symmetry_space_group_name_Hall 'P 1'
loop_
_atom_site_label
_atom_site_fract_x
_atom_site_fract_y
_atom_site_fract_z
_atom_site_occupancy
Pr1 0.099 0.099 0.703 1
Pr2 0.901 0.901 0.297 1
Zn1 0.500 0.500 0.500 1
Er1 0.000 0.000 0.000 1
```

---

# LaTaNi2Te

An optimized crystal structure of LaTaNi2Te (GGA-PBE, Alexandria via LeMat-Bulk).

Summary:
For the total moment, the calculation gives 0.0 μB per formula unit. As for the electronic total energy: -28.2 eV/cell. The density of states at the Fermi level comes out at 1.515 states/eV/atom.

CIF file:
```
data_LaTaNi2Te
_chemical_formula_sum 'La1 Ta1 Ni2 Te1'
_cell_length_a 4.649
_cell_length_b 5.847
_cell_length_c 4.649
_cell_angle_alpha 90.00
_cell_angle_beta 90.00
_cell_angle_gamma 90.00
_symmetry_space_group_name_H-M 'P 1'
_symmetry_Int_Tables_number 1
_symmetry_space_group_name_Hall 'P 1'
loop_
_atom_site_label
_atom_site_fract_x
_atom_site_fract_y
_atom_site_fract_z
_atom_site_occupancy
Ni1 0.000 0.000 0.500 1
Ni2 0.500 0.000 0.000 1
La1 0.000 0.500 0.000 1
Te1 0.500 0.500 0.500 1
Ta1 0.000 0.000 0.000 1
```